No. 1
Crystalline Ta2MnPd at its relaxed geometry. Source: Alexandria via LeMat-Bulk, functional PBE.

abc: 9.9566 9.9566 9.9566
angles: 157.75 157.75 31.67
With the nearest neighbours (Å) after each atom.
Positions (direct):
Ta 0.1192 0.6250 0.9942  4 Ta 2.69-2.75, 2 Mn 2.75, 2 Pd 2.76
Ta 0.3750 0.3692 0.4942  4 Ta 2.69-2.75, 2 Mn 2.75, 2 Pd 2.76
Ta 0.6308 0.1250 0.0058  4 Ta 2.69-2.75, 2 Mn 2.75, 2 Pd 2.76
Ta 0.8750 0.8808 0.5058  4 Ta 2.69-2.75, 2 Mn 2.75, 2 Pd 2.76
Mn 0.0000 0.0000 0.0000  4 Pd 2.72, 4 Ta 2.75
Mn 0.7500 0.2500 0.5000  4 Pd 2.72, 4 Ta 2.75
Pd 0.2500 0.7500 0.5000  4 Mn 2.72, 4 Ta 2.76
Pd 0.5000 0.5000 0.0000  4 Mn 2.72, 4 Ta 2.76

Properties
DFT formation energy ... 1.964 eV/f.u.
Space-group type ... I-42d

No. 2
Crystalline Te2PbSe at its relaxed geometry. Source: Alexandria via LeMat-Bulk, functional PBE.

abc: 4.2594 4.2594 7.2598
angles: 90.00 90.00 90.00
With the nearest neighbours (Å) after each atom.
Positions (direct):
Te 0.0000 0.5000 0.0000  4 Te 3.01
Te 0.5000 0.0000 0.0000  4 Te 3.01
Pb 0.0000 0.0000 0.5000  4 Se 3.01
Se 0.5000 0.5000 0.5000  4 Pb 3.01

Properties
ΔE_f (raw) ... -23 meV/atom
Space-group type ... P4/mmm

No. 3
Crystalline AcSm2Bi at its relaxed geometry. Source: Alexandria via LeMat-Bulk, functional PBE.

abc: 10.3883 10.3883 10.3883
angles: 23.14 23.14 23.14
With the nearest neighbours (Å) after each atom.
Positions (direct):
Ac 0.0000 0.0000 0.0000  6 Sm 3.88, 6 Ac 4.17
Sm 0.2330 0.2330 0.2330  3 Bi 3.14
Sm 0.7670 0.7670 0.7670  3 Bi 3.14
Bi 0.5000 0.5000 0.5000  6 Sm 3.14

Properties
ΔE to the lowest computed polymorph ... 121 meV per atom
DFT formation energy ... -1.027 eV/f.u.
Space-group type ... R-3m